(1)
Material: SrInCu2Cl
Method: DFT, PBE-GGA
State: relaxed

Lattice parameters (Å, degrees): 5.6194 5.3767 5.6194 90.00 90.00 90.00
Element x y z (fractional)
Cu: 0.5000 0.0000 0.0000
Cu: 0.0000 0.0000 0.5000
Cl: 0.0000 0.5000 0.0000
Sr: 0.0000 0.0000 0.0000
In: 0.5000 0.5000 0.5000

* volume: 33.96 Å³ per atom
* space group: P4/mmm
* mass density: 3.6 g/cm³
* raw formation energy: 201.5 meV/atom

(2)
Material: InCu2TeCl
Method: DFT, PBE-GGA
State: relaxed

Lattice parameters (Å, degrees): 4.5523 5.9285 4.5523 90.00 90.00 90.00
Element x y z (fractional)
Cl: 0.0000 0.0000 0.0000
In: 0.0000 0.5000 0.0000
Cu: 0.0000 0.0000 0.5000
Cu: 0.5000 0.0000 0.0000
Te: 0.5000 0.5000 0.5000

* volume: 24.57 Å³ per atom
* space group: P4/mmm
* mass density: 5.5 g/cm³
* raw formation energy: 301.5 meV/atom

(3)
Material: TlInCu2Cl6
Method: DFT, PBE-GGA
State: relaxed

Lattice parameters (Å, degrees): 6.8285 6.8296 8.1276 89.86 114.60 120.17
Element x y z (fractional)
Cl: 0.5636 0.9548 0.7674
Cl: 0.1631 0.3888 0.1900
Cl: 0.4301 0.0408 0.1920
Cl: 0.8295 0.6062 0.7708
Cl: 0.8140 0.7752 0.1916
Cl: 0.1797 0.2215 0.7693
Cu: 0.5368 0.2652 0.7894
Cu: 0.4557 0.7290 0.1715
Tl: 0.9963 0.4983 0.4803
In: 0.9968 0.9978 0.9802

* volume: 28.74 Å³ per atom
* space group: P1
* mass density: 3.8 g/cm³
* raw formation energy: -810.3 meV/atom

(4)
Material: VIn2CuCl
Method: DFT, PBE-GGA
State: relaxed

Lattice parameters (Å, degrees): 5.4289 4.2621 5.4289 90.00 90.00 90.00
Element x y z (fractional)
Cu: 0.5000 0.5000 0.5000
V: 0.0000 0.5000 0.0000
In: 0.5000 0.0000 0.0000
In: 0.0000 0.0000 0.5000
Cl: 0.0000 0.0000 0.0000

* volume: 25.12 Å³ per atom
* space group: P4/mmm
* mass density: 5.0 g/cm³
* raw formation energy: 868.7 meV/atom